Below is an optimized crystal structure of CsRb2NaPd, with properties calculated at the GGA-PBE level.

Cell: 6.602 6.602 6.737 Å, 90.00 90.00 90.00°
Fractional coordinates of all 5 atoms:
Cs (0.000, 0.000, 0.000)
Rb (0.000, 0.500, 0.500)
Rb (0.500, 0.000, 0.500)
Na (0.500, 0.500, 0.000)
Pd (0.000, 0.000, 0.500)

Energy of formation = 0.089 eV per atom
Size of the total moment = 0.00 μB per formula unit

=====

Below is an optimized crystal structure of CsRbNa2Pd, with properties calculated at the GGA-PBE level.

Cell: 6.003 6.003 6.414 Å, 90.00 90.00 90.00°
Fractional coordinates of all 5 atoms:
Cs (0.000, 0.000, 0.000)
Rb (0.500, 0.500, 0.000)
Na (0.000, 0.500, 0.500)
Na (0.500, 0.000, 0.500)
Pd (0.500, 0.500, 0.500)

Energy of formation = 0.078 eV per atom
Size of the total moment = 0.00 μB per formula unit

=====

Below is an optimized crystal structure of CsRb2NaPd, with properties calculated at the GGA-PBE level.

Cell: 6.770 6.770 6.044 Å, 90.00 90.00 90.00°
Fractional coordinates of all 5 atoms:
Cs (0.000, 0.000, 0.000)
Rb (0.000, 0.500, 0.500)
Rb (0.500, 0.000, 0.500)
Na (0.500, 0.500, 0.000)
Pd (0.500, 0.500, 0.500)

Energy of formation = 0.101 eV per atom
Size of the total moment = 0.00 μB per formula unit

=====

Below is an optimized crystal structure of Cs2RbNaPd, with properties calculated at the GGA-PBE level.

Cell: 6.889 6.889 6.713 Å, 90.00 90.00 90.00°
Fractional coordinates of all 5 atoms:
Cs (0.000, 0.500, 0.000)
Cs (0.500, 0.000, 0.000)
Rb (0.000, 0.000, 0.500)
Na (0.500, 0.500, 0.500)
Pd (0.000, 0.000, 0.000)

Energy of formation = 0.073 eV per atom
Size of the total moment = 0.00 μB per formula unit

=====

Below is an optimized crystal structure of CsRbNa2Pd, with properties calculated at the GGA-PBE level.

Cell: 5.998 5.998 6.556 Å, 90.00 90.00 90.00°
Fractional coordinates of all 5 atoms:
Cs (0.000, 0.000, 0.000)
Rb (0.500, 0.500, 0.000)
Na (0.000, 0.500, 0.500)
Na (0.500, 0.000, 0.500)
Pd (0.000, 0.000, 0.500)

Energy of formation = 0.097 eV per atom
Size of the total moment = 0.00 μB per formula unit

=====

Below is an optimized crystal structure of Cs2NaPdS2, with properties calculated at the GGA-PBE level.

Cell: 9.196 9.196 9.196 Å, 137.41 61.62 137.65°
Fractional coordinates of all 12 atoms:
Cs (0.169, 0.239, 0.408)
Cs (0.331, 0.739, 0.071)
Cs (0.669, 0.261, 0.929)
Cs (0.831, 0.761, 0.592)
Na (0.250, 0.750, 0.500)
Na (0.750, 0.250, 0.500)
Pd (0.250, 0.250, 0.000)
Pd (0.750, 0.750, 0.000)
S (0.083, 0.773, 0.855)
S (0.417, 0.273, 0.690)
S (0.583, 0.727, 0.310)
S (0.917, 0.227, 0.145)

Size of the total moment = 1.03 μB per formula unit
Total energy = -0.25290 Ry/atom

=====

Below is an optimized crystal structure of CsNaSr2Pd, with properties calculated at the GGA-PBE level.

Cell: 6.033 6.033 6.949 Å, 90.00 90.00 90.00°
Fractional coordinates of all 5 atoms:
Cs (0.000, 0.000, 0.000)
Na (0.500, 0.500, 0.000)
Sr (0.000, 0.500, 0.500)
Sr (0.500, 0.000, 0.500)
Pd (0.000, 0.000, 0.500)

Energy of formation = -0.097 eV per atom
Size of the total moment = 0.00 μB per formula unit

=====

Below is an optimized crystal structure of CsNaSr2Pd, with properties calculated at the GGA-PBE level.

Cell: 6.010 6.010 6.505 Å, 90.00 90.00 90.00°
Fractional coordinates of all 5 atoms:
Cs (0.000, 0.000, 0.000)
Na (0.500, 0.500, 0.000)
Sr (0.000, 0.500, 0.500)
Sr (0.500, 0.000, 0.500)
Pd (0.500, 0.500, 0.500)

Energy of formation = -0.117 eV per atom
Size of the total moment = 0.00 μB per formula unit

=====

Below is an optimized crystal structure of Cs2NaTcPd, with properties calculated at the GGA-PBE level.

Cell: 6.283 6.283 4.870 Å, 90.00 90.00 90.00°
Fractional coordinates of all 5 atoms:
Cs (0.000, 0.500, 0.000)
Cs (0.500, 0.000, 0.000)
Na (0.000, 0.000, 0.500)
Tc (0.500, 0.500, 0.000)
Pd (0.500, 0.500, 0.500)

Energy of formation = 0.980 eV per atom
Size of the total moment = 0.00 μB per formula unit

=====

Below is an optimized crystal structure of Cs2NaTePd, with properties calculated at the GGA-PBE level.

Cell: 6.070 6.070 5.679 Å, 90.00 90.00 90.00°
Fractional coordinates of all 5 atoms:
Cs (0.000, 0.500, 0.000)
Cs (0.500, 0.000, 0.000)
Na (0.000, 0.000, 0.500)
Te (0.500, 0.500, 0.500)
Pd (0.000, 0.000, 0.000)

Size of the total moment = 0.00 μB per formula unit
Total energy = -0.18212 Ry/atom

=====

Below is an optimized crystal structure of CsNa2TlPd, with properties calculated at the GGA-PBE level.

Cell: 5.958 5.958 5.362 Å, 90.00 90.00 90.00°
Fractional coordinates of all 5 atoms:
Cs (0.000, 0.000, 0.000)
Na (0.000, 0.500, 0.500)
Na (0.500, 0.000, 0.500)
Tl (0.500, 0.500, 0.500)
Pd (0.500, 0.500, 0.000)

Energy of formation = 0.079 eV per atom
Size of the total moment = 0.00 μB per formula unit

=====

Below is an optimized crystal structure of Cs2NaTl6Pd, with properties calculated at the GGA-PBE level.

Cell: 7.777 7.777 7.049 Å, 90.00 90.00 120.00°
Fractional coordinates of all 10 atoms:
Cs (0.333, 0.667, 0.353)
Cs (0.667, 0.333, 0.647)
Na (0.000, 0.000, 0.500)
Tl (0.193, 0.385, 0.842)
Tl (0.193, 0.807, 0.842)
Tl (0.385, 0.193, 0.158)
Tl (0.615, 0.807, 0.842)
Tl (0.807, 0.193, 0.158)
Tl (0.807, 0.615, 0.158)
Pd (0.000, 0.000, 0.000)

Energy of formation = -0.062 eV per atom
Size of the total moment = 0.00 μB per formula unit

=====

Below is an optimized crystal structure of CsNa2TlPd, with properties calculated at the GGA-PBE level.

Cell: 5.818 5.818 5.354 Å, 90.00 90.00 90.00°
Fractional coordinates of all 5 atoms:
Cs (0.000, 0.000, 0.000)
Na (0.000, 0.500, 0.500)
Na (0.500, 0.000, 0.500)
Tl (0.500, 0.500, 0.000)
Pd (0.500, 0.500, 0.500)

Energy of formation = -0.096 eV per atom
Size of the total moment = 0.00 μB per formula unit

=====

Below is an optimized crystal structure of Cs2NaTlPd, with properties calculated at the GGA-PBE level.

Cell: 6.809 6.809 5.430 Å, 90.00 90.00 90.00°
Fractional coordinates of all 5 atoms:
Cs (0.000, 0.500, 0.000)
Cs (0.500, 0.000, 0.000)
Na (0.000, 0.000, 0.500)
Tl (0.500, 0.500, 0.500)
Pd (0.500, 0.500, 0.000)

Energy of formation = 0.003 eV per atom
Size of the total moment = 0.00 μB per formula unit